First-principles (PBE-GGA) data for a geometry-optimized Cs2AcCl structure, as listed in Alexandria via LeMat-Bulk.

The density of states at the Fermi level is 0.4718 states/eV per atom. As for the symmetry: R-3m (166). As for the uncorrected formation energy: -645 meV per atom. For the total magnetic moment, the calculation gives 0.00 μB/cell. The theoretical density comes out at 4.205 g cm⁻³.

a b c (Å): 4.291 4.291 13.316
angles (deg): 80.73 80.73 60.00
Sites, in units of the cell vectors:
Cs1 0.107 0.107 0.678
Cs2 0.893 0.893 0.322
Ac1 0.000 0.000 0.000
Cl1 0.500 0.500 0.500